Entry 1:
{
  "formula": "CrAgSe2",
  "functional": "PBE-GGA",
  "state": "optimized geometry",
  "formation_energy_uncorrected_ev_per_atom": -0.2119,
  "crystal_system": "tetragonal",
  "lattice": [[5.9417, 0.0000, 0.0000], [0.0000, 5.9417, 0.0000], [2.9708, 2.9708, 5.6609]],
  "species": ["Cr", "Cr", "Se", "Se", "Se", "Se", "Ag", "Ag"],
  "fractional_positions": [[0.5000, 0.5000, 0.0000], [0.2500, 0.7500, 0.5000], [0.5889, 0.1250, 0.2500], [0.1611, 0.6250, 0.2500], [0.3750, 0.4111, 0.7500], [0.8750, 0.8389, 0.7500], [0.0000, 0.0000, 0.0000], [0.7500, 0.2500, 0.5000]]
}

=====

Entry 2:
{
  "formula": "NaCd2In2Bi2",
  "functional": "PBE-GGA",
  "state": "optimized geometry",
  "crystal_system": "trigonal",
  "delta_e_f_ev_per_atom": -0.0267,
  "lattice": [[-4.6016, 2.7666, 0.8136], [-4.6283, -1.6986, -2.2771], [-4.5661, -3.9580, 5.7576]],
  "species": ["Na", "Cd", "Cd", "In", "In", "Bi", "Bi"],
  "fractional_positions": [[0.0000, 0.0000, 0.0000], [0.5683, 0.5683, 0.2951], [0.4317, 0.4317, 0.7049], [0.1365, 0.1365, 0.5906], [0.8635, 0.8635, 0.4094], [0.7285, 0.7285, 0.8145], [0.2715, 0.2715, 0.1855]]
}

=====

Entry 3:
{
  "formula": "MgAg3Sn",
  "functional": "PBE-GGA",
  "state": "optimized geometry",
  "crystal_system": "cubic",
  "relative_energy_mev_per_atom": 551,
  "delta_e_f_ev_per_atom": 0.4550,
  "lattice": [[5.2009, 0.0000, 0.0000], [0.0000, 5.2009, 0.0000], [0.0000, 0.0000, 5.2009]],
  "species": ["Mg", "Sn", "Ag", "Ag", "Ag"],
  "fractional_positions": [[0.5000, 0.5000, 0.5000], [0.0000, 0.0000, 0.0000], [0.0000, 0.5000, 0.0000], [0.0000, 0.0000, 0.5000], [0.5000, 0.0000, 0.0000]]
}

=====

Entry 4:
{
  "formula": "CoSeBr",
  "functional": "PBE-GGA",
  "state": "optimized geometry",
  "formation_energy_uncorrected_ev_per_atom": -0.3302,
  "crystal_system": "triclinic",
  "lattice": [[3.4622, -0.0894, 0.1929], [0.1760, 6.2519, -0.2000], [1.5131, 1.4982, 6.6203]],
  "species": ["Br", "Br", "Se", "Se", "Co", "Co"],
  "fractional_positions": [[0.3643, 0.6216, 0.7850], [0.6357, 0.3784, 0.2150], [0.1548, 0.8852, 0.1796], [0.8452, 0.1148, 0.8204], [0.7491, 0.7586, 0.0020], [0.2509, 0.2414, 0.9980]]
}

=====

Entry 5:
{
  "formula": "Tb8Sm6Mg",
  "functional": "PBE-GGA",
  "state": "optimized geometry",
  "crystal_system": "trigonal",
  "delta_e_f_ev_per_atom": 0.1301,
  "lattice": [[-2.8534, -5.2412, 2.1474], [8.3978, -3.5231, 2.5595], [-4.9976, 5.2213, 6.1031]],
  "species": ["Tb", "Tb", "Tb", "Tb", "Tb", "Tb", "Tb", "Tb", "Sm", "Sm", "Sm", "Sm", "Sm", "Sm", "Mg"],
  "fractional_positions": [[0.8143, 0.0374, 0.2665], [0.8143, 0.7335, 0.7709], [0.8143, 0.2291, 0.9626], [0.1857, 0.9626, 0.7335], [0.1857, 0.2665, 0.2291], [0.1857, 0.7709, 0.0374], [0.8352, 0.3333, 0.6667], [0.1648, 0.6667, 0.3333], [0.6824, 0.6403, 0.0903], [0.6824, 0.9097, 0.5500], [0.6824, 0.4500, 0.3597], [0.3176, 0.3597, 0.9097], [0.3176, 0.0903, 0.4500], [0.3176, 0.5500, 0.6403], [0.5000, 0.0000, 0.0000]]
}

=====

Entry 6:
{
  "formula": "Li2YTe2",
  "functional": "PBE-GGA",
  "state": "optimized geometry",
  "formation_energy_uncorrected_ev_per_atom": -0.9918,
  "crystal_system": "tetragonal",
  "relative_energy_mev_per_atom": 0,
  "lattice": [[-3.0109, 0.8563, 2.4816], [2.4212, -0.5538, 3.1286], [1.5632, 7.2234, 2.6192]],
  "species": ["Y", "Te", "Te", "Li", "Li"],
  "fractional_positions": [[0.0000, 0.0000, 0.0000], [0.3805, 0.3805, 0.2389], [0.6195, 0.6195, 0.7611], [0.7500, 0.2500, 0.5000], [0.2500, 0.7500, 0.5000]]
}

=====

Entry 7:
{
  "formula": "Mo3PdPb",
  "functional": "PBE-GGA",
  "state": "optimized geometry",
  "crystal_system": "cubic",
  "relative_energy_mev_per_atom": 0,
  "delta_e_f_ev_per_atom": 1.7665,
  "lattice": [[4.8046, 0.0000, 0.0000], [0.0000, 4.8046, 0.0000], [0.0000, 0.0000, 4.8046]],
  "species": ["Pb", "Mo", "Mo", "Mo", "Pd"],
  "fractional_positions": [[0.5000, 0.5000, 0.5000], [0.0000, 0.5000, 0.0000], [0.0000, 0.0000, 0.5000], [0.5000, 0.0000, 0.0000], [0.0000, 0.0000, 0.0000]]
}

=====

Entry 8:
{
  "formula": "LaAgF3",
  "functional": "PBE-GGA",
  "state": "optimized geometry",
  "formation_energy_uncorrected_ev_per_atom": -1.8788,
  "crystal_system": "cubic",
  "relative_energy_mev_per_atom": 923,
  "lattice": [[4.5129, 0.0000, 0.0000], [0.0000, 4.5129, 0.0000], [0.0000, 0.0000, 4.5129]],
  "species": ["F", "F", "F", "Ag", "La"],
  "fractional_positions": [[0.0000, 0.5000, 0.0000], [0.0000, 0.0000, 0.5000], [0.5000, 0.0000, 0.0000], [0.0000, 0.0000, 0.0000], [0.5000, 0.5000, 0.5000]]
}